# 1
Here is a geometry-optimized Ba2TlPb structure from the Alexandria database. Energies are from PBEsol.

abc: 6.7768 6.7768 6.7768
angles: 141.09 131.65 63.72
Fractional positions:
Ba 0.0000 0.0000 0.0000
Ba 0.7075 0.2075 0.5000
Tl 0.4466 0.4466 0.0000
Pb 0.2671 0.7671 0.5000

Computed properties:
space group	Imm2, No. 44
energy relative to the elements	-0.46	eV/atom

---

# 2
Here is a geometry-optimized Ni2SnMoCl structure from the Alexandria database. Energies are from PBEsol.

abc: 4.5981 4.5981 5.2710
angles: 90.00 90.00 90.00
Fractional positions:
Ni 0.0000 0.5000 0.0000
Ni 0.5000 0.0000 0.0000
Sn 0.0000 0.0000 0.0000
Mo 0.0000 0.0000 0.5000
Cl 0.5000 0.5000 0.5000

Computed properties:
space group	P4/mmm, No. 123
VASP energy	-4.5845	eV/atom

---

# 3
Here is a geometry-optimized Tb3BCl3 structure from the Alexandria database. Energies are from PBEsol.

abc: 9.3255 9.3255 9.3255
angles: 109.47 109.47 109.47
Fractional positions:
Tb 0.0134 0.0268 0.2634
Tb 0.0134 0.4866 0.7500
Tb 0.0268 0.2634 0.0134
Tb 0.2366 0.2634 0.7500
Tb 0.2366 0.4732 0.4866
Tb 0.2634 0.0134 0.0268
Tb 0.2634 0.7500 0.2366
Tb 0.4732 0.4866 0.2366
Tb 0.4866 0.2366 0.4732
Tb 0.4866 0.7500 0.0134
Tb 0.7500 0.0134 0.4866
Tb 0.7500 0.2366 0.2634
B 0.0000 0.2500 0.5000
B 0.2500 0.2500 0.2500
B 0.2500 0.5000 0.0000
B 0.5000 0.0000 0.2500
Cl 0.2500 0.7563 0.7437
Cl 0.2500 0.9937 0.5063
Cl 0.5063 0.2500 0.9937
Cl 0.5063 0.7563 0.5126
Cl 0.5126 0.5063 0.7563
Cl 0.7437 0.2500 0.7563
Cl 0.7437 0.9937 0.9874
Cl 0.7563 0.5126 0.5063
Cl 0.7563 0.7437 0.2500
Cl 0.9874 0.7437 0.9937
Cl 0.9937 0.5063 0.2500
Cl 0.9937 0.9874 0.7437

Computed properties:
space group	I4_132, No. 214
VASP energy	-5.5545	eV/atom